The following is a DFT calculation (PBE) of a geometry-optimized NbCuNiIr structure.

## Properties
Space group: F-43m (216)
N(E_F): 4.0 states/eV/f.u.
ΔE_f: -0.19 eV/atom
Electronic total energy: -7.40 eV per atom

Unit cell a=4.3104 b=4.3104 c=4.3104 alpha=60.00 beta=60.00 gamma=60.00
Atoms (fractional coordinates):
Ni (0.5000, 0.5000, 0.5000)
Nb (0.7500, 0.7500, 0.7500)
Ir (0.0000, 0.0000, 0.0000)
Cu (0.2500, 0.2500, 0.2500)